# K3CoRu PBE relaxed
# - Total DFT energy (no corrections): -2.4212 eV per atom
# - Energy above the most stable polymorph in this dataset: 0.000 eV per atom
# - Crystal system: cubic
data_K3CoRu
_space_group_name_H-M_alt 'P 1'
_space_group_IT_number 1
_cell_length_a 6.1980
_cell_length_b 6.1980
_cell_length_c 6.1980
_cell_angle_alpha 90.00
_cell_angle_beta 90.00
_cell_angle_gamma 90.00
loop_
_space_group_symop_operation_xyz
'x,y,z'
loop_
_atom_site_label
_atom_site_fract_x
_atom_site_fract_y
_atom_site_fract_z
_atom_site_occupancy
K1 0.0000 0.0000 0.5000 1
K2 0.0000 0.5000 0.0000 1
K3 0.5000 0.0000 0.0000 1
Co1 0.5000 0.5000 0.5000 1
Ru1 0.0000 0.0000 0.0000 1